No. 1
A plane-wave DFT calculation with PBEsol was carried out for crystalline LiZrAs2 at its relaxed geometry.

```
LiZrAs2
1.0
3.472 -3.458 0.000
3.472 3.458 0.000
-0.212 0.000 2.920
Li Zr As
1 1 2
direct
0.000 0.000 0.000
0.500 0.500 0.000
0.000 0.500 0.500
0.500 0.000 0.500
```

Computed properties:
formation energy	-0.6297	eV per atom
calculated total energy	-5.947	eV/atom
total magnetization	0.0	μB per cell
density	5.87	g cm⁻³
N(E_F)	0.3733	states/eV/atom
excess energy over the best structure of this formula in the dataset	0	meV/atom

---

No. 2
A plane-wave DFT calculation with PBEsol was carried out for crystalline Si2AgPt2 at its relaxed geometry.

```
Si2AgPt2
1.0
-2.022 2.022 4.897
2.022 -2.022 4.897
2.022 2.022 -4.897
Si Ag Pt
2 1 2
direct
0.115 0.115 0.000
0.885 0.885 0.000
0.500 0.500 0.000
0.250 0.750 0.500
0.750 0.250 0.500
```

Computed properties:
formation energy (no corrections)	-0.37	eV/atom
calculated total energy	-6.114	eV/atom
total magnetization	0.0	μB per cell
density	11.49	g cm⁻³
N(E_F)	0.3173	states/eV/atom

---

No. 3
A plane-wave DFT calculation with PBEsol was carried out for crystalline Na2SiBW at its relaxed geometry.

```
Na2SiBW
1.0
5.659 0.000 0.000
0.000 5.659 0.000
0.000 0.000 3.611
Na Si B W
2 1 1 1
direct
0.000 0.500 0.000
0.500 0.000 0.000
0.000 0.000 0.000
0.000 0.000 0.500
0.500 0.500 0.500
```

Computed properties:
formation energy (no corrections)	1.73	eV/atom
calculated total energy	-4.145	eV/atom
total magnetization	4.9	μB per cell
density	3.86	g cm⁻³
N(E_F)	0.2214	states/eV/atom